1.
Below is a geometry-optimized Ba6IrPb2 structure, with properties calculated at the GGA-PBE level.

a b c (Å): 8.1276 8.9606 14.1748
angles (deg): 90.00 124.55 90.00
Last column: nearest neighbours and their distance in Å.
Fractional coordinates of all 18 atoms:
1 Ba 0.1379 0.1742 0.4472  1 Ir 3.03
2 Ba 0.1379 0.3258 0.9472  1 Ir 3.03
3 Ba 0.2722 0.7005 0.4443  1 Ir 3.10
4 Ba 0.2722 0.7995 0.9443  1 Ir 3.10
5 Ba 0.3541 0.0292 0.2512  1 Ir 3.03
6 Ba 0.3541 0.4708 0.7512  1 Ir 3.03
7 Ba 0.6459 0.5292 0.2488  1 Ir 3.03
8 Ba 0.6459 0.9708 0.7488  1 Ir 3.03
9 Ba 0.7278 0.2005 0.0557  1 Ir 3.10
10 Ba 0.7278 0.2995 0.5557  1 Ir 3.10
11 Ba 0.8621 0.6742 0.0528  1 Ir 3.03
12 Ba 0.8621 0.8258 0.5528  1 Ir 3.03
13 Ir 0.5000 0.0000 0.5000  6 Ba 3.03-3.10
14 Ir 0.5000 0.5000 0.0000  6 Ba 3.03-3.10
15 Pb 0.2253 0.0892 0.7517  6 Ba 3.58-3.86
16 Pb 0.2253 0.4108 0.2517  6 Ba 3.58-3.86
17 Pb 0.7747 0.5892 0.7483  6 Ba 3.58-3.86
18 Pb 0.7747 0.9108 0.2483  6 Ba 3.58-3.86

Computed properties:
DFT formation energy = -0.38 eV/atom
symmetry = P2_1/c (14)
total magnetic moment = 0.106 μB/atom

***

2.
Below is a geometry-optimized Ce2ZnTe structure, with properties calculated at the GGA-PBE level.

a b c (Å): 3.9148 3.9148 6.8709
angles (deg): 90.00 90.00 90.00
Last column: nearest neighbours and their distance in Å.
Fractional coordinates of all 4 atoms:
1 Ce 0.0000 0.0000 0.2389  4 Zn 3.22, 2 Ce 3.28-3.59, 4 Te 3.30
2 Ce 0.0000 0.0000 0.7611  4 Zn 3.22, 2 Ce 3.28-3.59, 4 Te 3.30
3 Zn 0.5000 0.5000 0.0000  8 Ce 3.22, 2 Te 3.44
4 Te 0.5000 0.5000 0.5000  8 Ce 3.30, 2 Zn 3.44

Computed properties:
symmetry = P4/mmm (123)
total magnetic moment = 0.600 μB/atom
distance to the lowest polymorph of the same formula = 0.0000 eV per atom

***

Look up the total magnetic moment of the first one. 0.106 μB/atom

***

What did the first record say?
Below is a geometry-optimized Ba6IrPb2 structure, with properties calculated at the GGA-PBE level.

a b c (Å): 8.1276 8.9606 14.1748
angles (deg): 90.00 124.55 90.00
Last column: nearest neighbours and their distance in Å.
Fractional coordinates of all 18 atoms:
1 Ba 0.1379 0.1742 0.4472  1 Ir 3.03
2 Ba 0.1379 0.3258 0.9472  1 Ir 3.03
3 Ba 0.2722 0.7005 0.4443  1 Ir 3.10
4 Ba 0.2722 0.7995 0.9443  1 Ir 3.10
5 Ba 0.3541 0.0292 0.2512  1 Ir 3.03
6 Ba 0.3541 0.4708 0.7512  1 Ir 3.03
7 Ba 0.6459 0.5292 0.2488  1 Ir 3.03
8 Ba 0.6459 0.9708 0.7488  1 Ir 3.03
9 Ba 0.7278 0.2005 0.0557  1 Ir 3.10
10 Ba 0.7278 0.2995 0.5557  1 Ir 3.10
11 Ba 0.8621 0.6742 0.0528  1 Ir 3.03
12 Ba 0.8621 0.8258 0.5528  1 Ir 3.03
13 Ir 0.5000 0.0000 0.5000  6 Ba 3.03-3.10
14 Ir 0.5000 0.5000 0.0000  6 Ba 3.03-3.10
15 Pb 0.2253 0.0892 0.7517  6 Ba 3.58-3.86
16 Pb 0.2253 0.4108 0.2517  6 Ba 3.58-3.86
17 Pb 0.7747 0.5892 0.7483  6 Ba 3.58-3.86
18 Pb 0.7747 0.9108 0.2483  6 Ba 3.58-3.86

Computed properties:
DFT formation energy = -0.38 eV/atom
symmetry = P2_1/c (14)
total magnetic moment = 0.106 μB/atom

***

Which value of total magnetic moment does entry 1 give? 0.106 μB/atom

***

What did the second record say?
Below is a geometry-optimized Ce2ZnTe structure, with properties calculated at the GGA-PBE level.

a b c (Å): 3.9148 3.9148 6.8709
angles (deg): 90.00 90.00 90.00
Last column: nearest neighbours and their distance in Å.
Fractional coordinates of all 4 atoms:
1 Ce 0.0000 0.0000 0.2389  4 Zn 3.22, 2 Ce 3.28-3.59, 4 Te 3.30
2 Ce 0.0000 0.0000 0.7611  4 Zn 3.22, 2 Ce 3.28-3.59, 4 Te 3.30
3 Zn 0.5000 0.5000 0.0000  8 Ce 3.22, 2 Te 3.44
4 Te 0.5000 0.5000 0.5000  8 Ce 3.30, 2 Zn 3.44

Computed properties:
symmetry = P4/mmm (123)
total magnetic moment = 0.600 μB/atom
distance to the lowest polymorph of the same formula = 0.0000 eV per atom